Density functional theory data (PBE+U) for a relaxed CrBiBrO4 crystal.

Calculated values
As for the density of states at the Fermi level: 0.00 states/eV/f.u. The space-group type is C2/m (12). Its total energy is -81.23 eV for the cell shown.

Cell lengths 6.406, 6.406, 6.922 Å; angles 77.65, 77.65, 69.86 degrees
Atoms (fractional coordinates):
Br: 0.018 0.018 0.246
O: 0.494 0.131 0.152
O: 0.283 0.283 0.512
O: 0.717 0.717 0.488
O: 0.506 0.869 0.848
O: 0.519 0.519 0.240
O: 0.869 0.506 0.848
O: 0.481 0.481 0.760
Cr: 0.360 0.360 0.270
Cr: 0.640 0.640 0.730
Br: 0.982 0.982 0.754
Bi: 0.779 0.779 0.134
O: 0.131 0.494 0.152
Bi: 0.221 0.221 0.866